1.
DFT (GGA-PBE) results for crystalline Mg2Sc5TcRh2 at its relaxed geometry.

Values from the calculation:
- Calculated volume: 20.32 Å³/atom
- ΔE_f: -4.2 eV per formula unit

Cell: 10.876 10.876 3.435 Å, 90.00 90.00 90.00°
Element x y z (fractional)
Mg  0.178  0.322  0.000
Mg  0.322  0.822  0.000
Mg  0.678  0.178  0.000
Mg  0.822  0.678  0.000
Sc  0.000  0.500  0.500
Sc  0.062  0.806  0.500
Sc  0.194  0.062  0.500
Sc  0.306  0.562  0.500
Sc  0.438  0.306  0.500
Sc  0.500  0.000  0.500
Sc  0.562  0.694  0.500
Sc  0.694  0.438  0.500
Sc  0.806  0.938  0.500
Sc  0.938  0.194  0.500
Tc  0.000  0.000  0.000
Tc  0.500  0.500  0.000
Rh  0.129  0.629  0.000
Rh  0.371  0.129  0.000
Rh  0.629  0.871  0.000
Rh  0.871  0.371  0.000



2.
DFT (GGA-PBE) results for crystalline MgScTc2Rh at its relaxed geometry.

Values from the calculation:
- Calculated volume: 20.12 Å³/atom
- ΔE_f: 6.2 eV per formula unit

Cell: 4.641 4.641 4.670 Å, 90.00 90.00 90.00°
Element x y z (fractional)
Mg  0.000  0.000  0.000
Sc  0.500  0.500  0.500
Tc  0.000  0.500  0.500
Tc  0.500  0.000  0.500
Rh  0.500  0.500  0.000



3.
DFT (GGA-PBE) results for crystalline MgScTlRh at its relaxed geometry.

Values from the calculation:
- Calculated volume: 19.12 Å³/atom
- ΔE_f: -1.5 eV per formula unit

Cell: 4.764 4.764 4.764 Å, 60.00 60.00 60.00°
Element x y z (fractional)
Mg  0.000  0.000  0.000
Sc  0.500  0.500  0.500
Tl  0.250  0.250  0.250
Rh  0.750  0.750  0.750



4.
DFT (GGA-PBE) results for crystalline TmMgScRh at its relaxed geometry.

Values from the calculation:
- Excess energy over the best structure of this formula in the dataset: 84 meV per atom
- Calculated volume: 20.49 Å³/atom
- ΔE_f: -1.8 eV per formula unit

Cell: 4.876 4.876 4.876 Å, 60.00 60.00 60.00°
Element x y z (fractional)
Tm  0.000  0.000  0.000
Mg  0.750  0.750  0.750
Sc  0.500  0.500  0.500
Rh  0.250  0.250  0.250



5.
DFT (GGA-PBE) results for crystalline TmMgScRh at its relaxed geometry.

Values from the calculation:
- Excess energy over the best structure of this formula in the dataset: 0 meV per atom
- Calculated volume: 21.50 Å³/atom
- ΔE_f: -2.1 eV per formula unit

Cell: 3.409 3.409 7.400 Å, 90.00 90.00 90.00°
Element x y z (fractional)
Tm  0.000  0.000  0.000
Mg  0.500  0.500  0.307
Sc  0.000  0.000  0.579
Rh  0.500  0.500  0.774



6.
DFT (GGA-PBE) results for crystalline Mg2ScVRh at its relaxed geometry.

Values from the calculation:
- Calculated volume: 22.06 Å³/atom
- ΔE_f: 1.3 eV per formula unit

Cell: 4.893 4.893 4.608 Å, 90.00 90.00 90.00°
Element x y z (fractional)
Mg  0.000  0.500  0.000
Mg  0.500  0.000  0.000
Sc  0.000  0.000  0.500
V  0.500  0.500  0.500
Rh  0.500  0.500  0.000



7.
DFT (GGA-PBE) results for crystalline YMgSc2Rh4 at its relaxed geometry.

Values from the calculation:
- Calculated volume: 17.27 Å³/atom
- ΔE_f: -6.9 eV per formula unit

Cell: 8.016 8.016 8.016 Å, 33.29 33.29 33.29°
Element x y z (fractional)
Y  0.000  0.000  0.000
Mg  0.500  0.500  0.500
Sc  0.244  0.244  0.244
Sc  0.756  0.756  0.756
Rh  0.126  0.126  0.126
Rh  0.378  0.378  0.378
Rh  0.622  0.622  0.622
Rh  0.874  0.874  0.874



8.
DFT (GGA-PBE) results for crystalline MgScZnRh2 at its relaxed geometry.

Values from the calculation:
- Calculated volume: 19.03 Å³/atom
- ΔE_f: 0.7 eV per formula unit

Cell: 4.638 4.638 4.422 Å, 90.00 90.00 90.00°
Element x y z (fractional)
Mg  0.000  0.000  0.000
Sc  0.500  0.500  0.000
Zn  0.000  0.000  0.500
Rh  0.000  0.500  0.500
Rh  0.500  0.000  0.500



9.
DFT (GGA-PBE) results for crystalline MgSc4ZnRh2 at its relaxed geometry.

Values from the calculation:
- Calculated volume: 18.38 Å³/atom
- ΔE_f: -4.6 eV per formula unit

Cell: 8.168 8.168 8.168 Å, 33.40 33.40 33.40°
Element x y z (fractional)
Mg  0.000  0.000  0.000
Sc  0.128  0.128  0.128
Sc  0.378  0.378  0.378
Sc  0.622  0.622  0.622
Sc  0.872  0.872  0.872
Zn  0.500  0.500  0.500
Rh  0.253  0.253  0.253
Rh  0.747  0.747  0.747



10.
DFT (GGA-PBE) results for crystalline MgZrSc2Rh at its relaxed geometry.

Values from the calculation:
- Calculated volume: 23.93 Å³/atom
- ΔE_f: 0.1 eV per formula unit

Cell: 4.909 4.909 4.965 Å, 90.00 90.00 90.00°
Element x y z (fractional)
Mg  0.000  0.000  0.000
Zr  0.500  0.500  0.000
Sc  0.000  0.500  0.500
Sc  0.500  0.000  0.500
Rh  0.000  0.000  0.500



11.
DFT (GGA-PBE) results for crystalline MgRhSe4 at its relaxed geometry.

Values from the calculation:
- Formation energy from raw total energies: 589 meV per atom
- Calculated volume: 20.90 Å³/atom

Cell: 5.618 5.618 5.618 Å, 60.00 60.00 60.00°
Element x y z (fractional)
Mg  0.000  0.000  0.000
Rh  0.250  0.250  0.250
Se  0.127  0.624  0.624
Se  0.624  0.127  0.624
Se  0.624  0.624  0.127
Se  0.624  0.624  0.624



12.
DFT (GGA-PBE) results for crystalline MgRh4Se at its relaxed geometry.

Values from the calculation:
- Formation energy from raw total energies: 148 meV per atom
- Calculated volume: 16.49 Å³/atom

Cell: 5.191 5.191 5.191 Å, 60.00 60.00 60.00°
Element x y z (fractional)
Mg  0.000  0.000  0.000
Rh  0.126  0.625  0.625
Rh  0.625  0.126  0.625
Rh  0.625  0.625  0.126
Rh  0.625  0.625  0.625
Se  0.250  0.250  0.250



13.
DFT (GGA-PBE) results for crystalline MgRh2Se4 at its relaxed geometry.

Values from the calculation:
- Formation energy from raw total energies: -616 meV per atom
- Calculated volume: 21.92 Å³/atom

Cell: 7.570 7.570 7.570 Å, 119.98 119.96 90.05°
Element x y z (fractional)
Mg  0.375  0.125  0.250
Mg  0.625  0.875  0.750
Rh  0.000  0.000  0.500
Rh  0.000  0.500  0.000
Rh  0.000  0.500  0.500
Rh  0.500  0.500  0.000
Se  0.202  0.734  0.468
Se  0.234  0.266  0.532
Se  0.234  0.266  0.968
Se  0.234  0.702  0.968
Se  0.766  0.298  0.032
Se  0.766  0.734  0.032
Se  0.766  0.734  0.468
Se  0.798  0.266  0.532



14.
DFT (GGA-PBE) results for crystalline MgRhSe at its relaxed geometry.

Values from the calculation:
- Formation energy from raw total energies: -349 meV per atom
- Excess energy over the best structure of this formula in the dataset: 89 meV per atom
- Calculated volume: 16.70 Å³/atom

Cell: 4.774 4.774 4.774 Å, 136.96 136.96 62.50°
Element x y z (fractional)
Mg  0.000  0.000  0.000
Rh  0.653  0.653  0.000
Se  0.335  0.335  0.000



15.
DFT (GGA-PBE) results for crystalline MgRh3Se at its relaxed geometry.

Values from the calculation:
- Formation energy from raw total energies: 144 meV per atom
- Excess energy over the best structure of this formula in the dataset: 0 meV per atom
- Calculated volume: 19.00 Å³/atom

Cell: 4.563 4.563 4.563 Å, 90.00 90.00 90.00°
Element x y z (fractional)
Mg  0.000  0.000  0.000
Rh  0.000  0.500  0.500
Rh  0.500  0.000  0.500
Rh  0.500  0.500  0.000
Se  0.500  0.500  0.500



16.
DFT (GGA-PBE) results for crystalline MgRhSe at its relaxed geometry.

Values from the calculation:
- Formation energy from raw total energies: -225 meV per atom
- Excess energy over the best structure of this formula in the dataset: 212 meV per atom
- Calculated volume: 18.68 Å³/atom

Cell: 11.442 3.356 3.356 Å, 60.44 90.00 90.00°
Element x y z (fractional)
Mg  0.159  0.000  0.000
Mg  0.841  0.000  0.000
Rh  0.000  0.667  0.667
Rh  0.500  0.885  0.885
Se  0.355  0.555  0.555
Se  0.645  0.555  0.555



17.
DFT (GGA-PBE) results for crystalline MgRh3Se at its relaxed geometry.

Values from the calculation:
- Formation energy from raw total energies: 1121 meV per atom
- Excess energy over the best structure of this formula in the dataset: 977 meV per atom
- Calculated volume: 18.88 Å³/atom

Cell: 4.553 4.553 4.553 Å, 90.00 90.00 90.00°
Element x y z (fractional)
Mg  0.000  0.000  0.000
Rh  0.000  0.000  0.500
Rh  0.000  0.500  0.000
Rh  0.500  0.000  0.000
Se  0.500  0.500  0.500



18.
DFT (GGA-PBE) results for crystalline MgRhSe at its relaxed geometry.

Values from the calculation:
- Formation energy from raw total energies: -307 meV per atom
- Excess energy over the best structure of this formula in the dataset: 131 meV per atom
- Calculated volume: 18.46 Å³/atom

Cell: 3.314 3.314 5.824 Å, 90.00 90.00 120.00°
Element x y z (fractional)
Mg  0.000  0.000  0.000
Rh  0.667  0.333  0.344
Se  0.333  0.667  0.615



19.
DFT (GGA-PBE) results for crystalline Mg4RhSe at its relaxed geometry.

Values from the calculation:
- Formation energy from raw total energies: 126 meV per atom
- Calculated volume: 19.76 Å³/atom

Cell: 5.514 5.514 5.514 Å, 60.00 60.00 60.00°
Element x y z (fractional)
Mg  0.124  0.124  0.124
Mg  0.124  0.124  0.627
Mg  0.124  0.627  0.124
Mg  0.627  0.124  0.124
Rh  0.750  0.750  0.750
Se  0.500  0.500  0.500



20.
DFT (GGA-PBE) results for crystalline MgRhSe at its relaxed geometry.

Values from the calculation:
- Formation energy from raw total energies: -437 meV per atom
- Excess energy over the best structure of this formula in the dataset: 0 meV per atom
- Calculated volume: 18.53 Å³/atom

Cell: 4.284 4.284 4.284 Å, 60.00 60.00 60.00°
Element x y z (fractional)
Mg  0.000  0.000  0.000
Rh  0.250  0.250  0.250
Se  0.500  0.500  0.500